[1]
Crystalline NaCu2AsO6 at its relaxed geometry, computed with PBE-GGA.

Results
formation energy from raw total energies	-812.4	meV per atom
energy	-208.1	eV/cell
DOS(E_F)	0.448	states/eV per atom

```
data_NaCu2AsO6
_chemical_formula_sum 'Na4 Cu8 As4 O24'
_symmetry_space_group_name_H-M 'C 1 2/c 1'
_symmetry_Int_Tables_number 15
_symmetry_space_group_name_Hall '-C 2yc'
_cell_length_a 11.906
_cell_length_b 7.280
_cell_length_c 6.863
_cell_angle_alpha 90.00
_cell_angle_beta 116.40
_cell_angle_gamma 90.00
loop_
_atom_site_label
_atom_site_type_symbol
_atom_site_fract_x
_atom_site_fract_y
_atom_site_fract_z
Na1 Na 0.000 0.238 0.250
Cu1 Cu 0.220 0.050 0.117
As1 As 0.000 0.312 0.750
O1 O 0.060 0.181 0.983
O2 O 0.105 0.465 0.727
O3 O 0.191 0.048 0.357
```

=====

[2]
Crystalline CsBaAcI6 at its relaxed geometry, computed with PBE-GGA.

Results
formation energy from raw total energies	-1635.2	meV per atom
energy	-61.8	eV/cell
DOS(E_F)	0.000	states/eV per atom

```
data_CsBaAcI6
_chemical_formula_sum 'Cs2 Ba2 Ac2 I12'
_symmetry_space_group_name_H-M 'P -3 1 c'
_symmetry_Int_Tables_number 163
_symmetry_space_group_name_Hall '-P 3 2c'
_cell_length_a 8.8652
_cell_length_b 8.8652
_cell_length_c 16.2013
_cell_angle_alpha 90.00
_cell_angle_beta 90.00
_cell_angle_gamma 120.00
loop_
_atom_site_label
_atom_site_type_symbol
_atom_site_fract_x
_atom_site_fract_y
_atom_site_fract_z
Cs1 Cs 0.0000 0.0000 0.0000
Ba1 Ba 0.3333 0.6667 0.2500
Ac1 Ac 0.3333 0.6667 0.7500
I1 I 0.0168 0.3816 0.6326
```

=====

[3]
Crystalline MgRuPt2 at its relaxed geometry, computed with PBE-GGA.

Results
energy	-96.5	eV/cell
DOS(E_F)	0.699	states/eV per atom

```
data_MgRuPt2
_chemical_formula_sum 'Mg4 Ru4 Pt8'
_symmetry_space_group_name_H-M 'F m m m'
_symmetry_Int_Tables_number 69
_symmetry_space_group_name_Hall '-F 2 2'
_cell_length_a 5.564
_cell_length_b 5.580
_cell_length_c 7.838
_cell_angle_alpha 90.00
_cell_angle_beta 90.00
_cell_angle_gamma 90.00
loop_
_atom_site_label
_atom_site_type_symbol
_atom_site_fract_x
_atom_site_fract_y
_atom_site_fract_z
Mg1 Mg 0.000 0.000 0.000
Ru1 Ru 0.000 0.000 0.500
Pt1 Pt 0.250 0.250 0.250
```